Entry 1:
First-principles (PBE) data for crystalline Er2LuScGa2 at its relaxed geometry, as listed in OQMD via LeMat-Bulk.

- Total magnetic moment: 0.08 μB per atom
- Raw total energy: -28.5 eV per cell

Unit cell a=5.0079 b=5.0079 c=6.4647 alpha=90.00 beta=90.00 gamma=120.00
Fractional coordinates of all 6 atoms:
Er1 0.6667 0.3333 0.2550
Er2 0.6667 0.3333 0.7450
Ga1 0.3333 0.6667 0.0000
Ga2 0.0000 0.0000 0.5000
Lu1 0.0000 0.0000 0.0000
Sc1 0.3333 0.6667 0.5000


Entry 2:
First-principles (PBE) data for crystalline NaTlZn2 at its relaxed geometry, as listed in OQMD via LeMat-Bulk.

- Raw total energy: -5.9 eV per cell

Unit cell a=4.9044 b=4.9044 c=4.9044 alpha=60.00 beta=60.00 gamma=60.00
Fractional coordinates of all 4 atoms:
Na1 0.2500 0.2500 0.2500
Tl1 0.5000 0.5000 0.5000
Zn1 0.0000 0.0000 0.0000
Zn2 0.7500 0.7500 0.7500


Entry 3:
First-principles (PBE) data for crystalline KSmB at its relaxed geometry, as listed in OQMD via LeMat-Bulk.

- Total magnetic moment: 0.00 μB per atom
- Relative energy among the computed polymorphs: 0.0 kJ per mole of atoms

Unit cell a=4.7783 b=4.7783 c=4.7783 alpha=60.00 beta=60.00 gamma=60.00
Fractional coordinates of all 3 atoms:
B1 0.0000 0.0000 0.0000
K1 0.2500 0.2500 0.2500
Sm1 0.7500 0.7500 0.7500


Entry 4:
First-principles (PBE) data for crystalline ZnOsPt2 at its relaxed geometry, as listed in OQMD via LeMat-Bulk.

- DFT formation energy: 20 kJ per mole of atoms
- Total magnetic moment: 0.34 μB per atom

Unit cell a=4.3988 b=4.3988 c=4.3988 alpha=60.00 beta=60.00 gamma=60.00
Fractional coordinates of all 4 atoms:
Os1 0.2500 0.2500 0.2500
Pt1 0.5000 0.5000 0.5000
Pt2 0.7500 0.7500 0.7500
Zn1 0.0000 0.0000 0.0000


Entry 5:
First-principles (PBE) data for crystalline LuAgSeO at its relaxed geometry, as listed in OQMD via LeMat-Bulk.

- Total magnetic moment: 0.00 μB per atom
- Raw total energy: -93.5 eV per cell

Unit cell a=5.6347 b=5.6331 c=11.0056 alpha=90.00 beta=92.00 gamma=90.00
Fractional coordinates of all 16 atoms:
Ag1 0.9983 0.3411 0.2810
Ag2 0.6871 0.5957 0.4965
Ag3 0.3129 0.0957 0.5035
Ag4 0.0017 0.8411 0.7190
Lu1 0.5048 0.3212 0.0892
Lu2 0.0050 0.8206 0.0896
Lu3 0.9950 0.3206 0.9104
Lu4 0.4952 0.8212 0.9108
O1 0.7496 0.0699 0.0003
O2 0.2479 0.0688 0.0013
O3 0.7521 0.5688 0.9987
O4 0.2504 0.5699 0.9997
Se1 0.6899 0.6452 0.2719
Se2 0.3052 0.0374 0.2796
Se3 0.6948 0.5374 0.7204
Se4 0.3101 0.1452 0.7281


Entry 6:
First-principles (PBE) data for crystalline Na2HfZrCo2Sn2 at its relaxed geometry, as listed in OQMD via LeMat-Bulk.

- Total magnetic moment: 0.00 μB per atom
- Raw total energy: -43.6 eV per cell

Unit cell a=4.5942 b=4.5942 c=6.4989 alpha=90.00 beta=90.00 gamma=90.00
Fractional coordinates of all 8 atoms:
Co1 0.5000 0.0000 0.2472
Co2 0.0000 0.5000 0.7528
Hf1 0.0000 0.0000 0.0000
Na1 0.0000 0.5000 0.2502
Na2 0.5000 0.0000 0.7498
Sn1 0.5000 0.5000 0.0000
Sn2 0.0000 0.0000 0.5000
Zr1 0.5000 0.5000 0.5000


Q: What is the formula in the fourth record?
A: ZnOsPt2